{
  "formula": "Be2NiPt",
  "functional": "GGA-PBEsol",
  "state": "optimized geometry",
  "spacegroup": "P4/mmm",
  "dos_at_fermi_per_ev_fu": 1.48,
  "delta_e_f_ev_per_fu": -2.5,
  "lattice": [[-0.2240, 2.4027, -1.2722], [-2.8274, -1.4129, -2.1706], [-2.5735, 1.1390, 2.6041]],
  "species": ["Be", "Be", "Ni", "Pt"],
  "fractional_positions": [[0.0000, 0.0000, 0.5000], [0.0000, 0.5000, 0.0000], [0.5000, 0.0000, 0.0000], [0.5000, 0.5000, 0.5000]]
}


{
  "formula": "BeNi6Pt",
  "functional": "GGA-PBEsol",
  "state": "optimized geometry",
  "spacegroup": "Cmmm",
  "dos_at_fermi_per_ev_fu": 9.92,
  "delta_e_f_ev_per_fu": -0.9,
  "lattice": [[-3.7557, -3.3726, 3.3542], [5.1014, -3.0728, -1.1240], [4.0562, 3.7087, 8.2708]],
  "species": ["Ni", "Ni", "Ni", "Ni", "Ni", "Ni", "Ni", "Ni", "Ni", "Ni", "Ni", "Ni", "Ni", "Ni", "Ni", "Ni", "Ni", "Ni", "Ni", "Ni", "Ni", "Ni", "Ni", "Ni", "Pt", "Pt", "Pt", "Pt", "Be", "Be", "Be", "Be"],
  "fractional_positions": [[0.3847, 0.1304, 0.1189], [0.8621, 0.6177, 0.6330], [0.6153, 0.8696, 0.1189], [0.1304, 0.3847, 0.8811], [0.2536, 0.7464, 0.7603], [0.8696, 0.6153, 0.8811], [0.7464, 0.2536, 0.7603], [0.6177, 0.8621, 0.3670], [0.5000, 0.5000, 0.0000], [0.7464, 0.2536, 0.2397], [0.0000, 0.0000, 0.5000], [0.1379, 0.3823, 0.3670], [0.2536, 0.7464, 0.2397], [0.3823, 0.1379, 0.6330], [0.6177, 0.8621, 0.6330], [0.1304, 0.3847, 0.1189], [0.3823, 0.1379, 0.3670], [0.8696, 0.6153, 0.1189], [0.0000, 0.0000, 0.0000], [0.8621, 0.6177, 0.3670], [0.6153, 0.8696, 0.8811], [0.5000, 0.5000, 0.5000], [0.1379, 0.3823, 0.6330], [0.3847, 0.1304, 0.8811], [0.0000, 0.0000, 0.2461], [0.2477, 0.7523, 0.5000], [0.7523, 0.2477, 0.5000], [0.0000, 0.0000, 0.7539], [0.5000, 0.5000, 0.2416], [0.2467, 0.7533, 0.0000], [0.7533, 0.2467, 0.0000], [0.5000, 0.5000, 0.7584]]
}


{
  "formula": "BeNiPt2",
  "functional": "GGA-PBEsol",
  "state": "optimized geometry",
  "spacegroup": "P4/mmm",
  "dos_at_fermi_per_ev_fu": 3.38,
  "delta_e_f_ev_per_fu": -1.4,
  "lattice": [[3.2340, 0.0000, 0.0000], [0.0000, 3.8809, 0.0000], [0.0000, 0.0000, 3.8809]],
  "species": ["Ni", "Pt", "Pt", "Be"],
  "fractional_positions": [[0.5000, 0.0000, 0.0000], [0.0000, 0.5000, 0.0000], [0.0000, 0.0000, 0.5000], [0.5000, 0.5000, 0.5000]]
}


{
  "formula": "BeNiPt2",
  "functional": "GGA-PBEsol",
  "state": "optimized geometry",
  "spacegroup": "Cmmm",
  "dos_at_fermi_per_ev_fu": 3.47,
  "delta_e_f_ev_per_fu": -1.5,
  "lattice": [[2.7314, 0.0000, 0.0000], [0.0000, 4.2538, -0.0030], [0.0000, -0.7548, 4.1863]],
  "species": ["Be", "Pt", "Pt", "Ni"],
  "fractional_positions": [[0.5000, 0.0000, 0.0000], [0.0000, 0.0000, 0.5000], [0.0000, 0.5000, 0.0000], [0.5000, 0.5000, 0.5000]]
}


{
  "formula": "BeNiPt",
  "functional": "GGA-PBEsol",
  "state": "optimized geometry",
  "spacegroup": "P3m1",
  "de_polymorph_ev_per_fu": 0.352,
  "dos_at_fermi_per_ev_fu": 2.78,
  "delta_e_f_ev_per_fu": -1.0,
  "lattice": [[2.6297, 0.0000, 0.0000], [0.0000, 3.8446, 0.0000], [0.0000, -1.9223, 3.3295]],
  "species": ["Ni", "Pt", "Be"],
  "fractional_positions": [[0.8197, 0.3333, 0.6667], [0.3231, 0.6667, 0.3333], [0.8572, 0.0000, 0.0000]]
}


{
  "formula": "RbBe3Ni",
  "functional": "GGA-PBEsol",
  "state": "optimized geometry",
  "spacegroup": "Pm-3m",
  "dos_at_fermi_per_ev_fu": 5.68,
  "delta_e_f_ev_per_fu": 14.7,
  "lattice": [[-0.6917, -0.2236, -4.6649], [4.6701, -0.0065, -0.6922], [0.0264, -4.7159, 0.2221]],
  "species": ["Be", "Be", "Be", "Ni", "Rb"],
  "fractional_positions": [[0.0000, 0.5000, 0.0000], [0.0000, 0.0000, 0.5000], [0.5000, 0.0000, 0.0000], [0.5000, 0.5000, 0.5000], [0.0000, 0.0000, 0.0000]]
}